ZrHgPd | PBE | optimized geometry

Structure (POSCAR):
```
ZrHgPd
1.0
2.952 0.000 0.000
0.000 4.741 0.000
0.000 -2.370 4.106
Hg Zr Pd
1 1 1
Cartesian
0.492 0.000 0.000
1.968 2.370 1.369
0.492 0.000 2.737
```

Computed properties:
The calculation puts the energy of formation at -110.6 kJ/mol of formula units. The value obtained for the total DFT energy (no corrections) is -15.19 eV for the cell shown. The calculated density comes out at 11.51 g/cm³. The crystal system is hexagonal.



PuBiSe | PBE | optimized geometry

Structure (POSCAR):
```
PuBiSe
1.0
-2.958 -0.582 -2.682
4.909 -3.933 -1.525
-4.670 -2.842 5.766
Bi Pu Se
2 2 2
Cartesian
-3.637 -2.935 4.647
0.918 -4.423 -3.088
-1.373 -4.801 2.556
-1.345 -2.556 -0.997
0.395 -4.155 0.465
-3.114 -3.203 1.094
```

Computed properties:
The value obtained for the total DFT energy (no corrections) is -47.49 eV for the cell shown. The calculated density comes out at 9.87 g/cm³. The crystal system is monoclinic. Its uncorrected formation energy is -2.05 eV per formula unit.



Q: calculated density of number 2 (PuBiSe)?
A: 9.87 g/cm³



Q: Which of these has the highest calculated density?
A: ZrHgPd



Q: Which of these has the lowest calculated density?
A: PuBiSe



Q: Number 2 is which compound?
A: PuBiSe